# K2CrCo3F12 GGA+U optimized geometry
# E_tot in eV/cell: -90.78
# Crystal system: trigonal
# SG: No. 166
# D(E_F) in states/eV/f.u.: 4.749
data_K2CrCo3F12
_cell_length_a 7.3949
_cell_length_b 7.3949
_cell_length_c 7.3949
_cell_angle_alpha 59.13
_cell_angle_beta 59.13
_cell_angle_gamma 59.13
_symmetry_space_group_name_H-M 'P 1'
_symmetry_Int_Tables_number 1
loop_
_symmetry_equiv_pos_as_xyz
'x,y,z'
loop_
_atom_site_label
_atom_site_type_symbol
_atom_site_fract_x
_atom_site_fract_y
_atom_site_fract_z
K1 K 0.1142 0.1142 0.1142
K2 K 0.8858 0.8858 0.8858
Cr1 Cr 0.5000 0.5000 0.5000
Co1 Co 0.0000 0.5000 0.5000
Co2 Co 0.5000 0.0000 0.5000
Co3 Co 0.5000 0.5000 0.0000
F1 F 0.1759 0.1759 0.5723
F2 F 0.1759 0.5723 0.1759
F3 F 0.1846 0.5701 0.5701
F4 F 0.4277 0.8241 0.8241
F5 F 0.4299 0.4299 0.8154
F6 F 0.4299 0.8154 0.4299
F7 F 0.5701 0.1846 0.5701
F8 F 0.5701 0.5701 0.1846
F9 F 0.5723 0.1759 0.1759
F10 F 0.8154 0.4299 0.4299
F11 F 0.8241 0.4277 0.8241
F12 F 0.8241 0.8241 0.4277